Pm12Pd6C: relaxed, GGA-PBE.

Calculated values
The total DFT energy (no corrections) comes out at -5.562 eV/atom. The value obtained for the total moment is 0.0 μB/f.u. The formation energy comes out at -0.437 eV/atom. As for the density of states at the Fermi level: 18.33 states/eV/f.u. The space-group type is R-3 (148). As for the calculated volume: 28.7 Å³/atom.

Geometry as extended XYZ:
```
19
Lattice="-3.6219 -3.9992 6.2491 -1.3813 -5.6442 -5.8650 7.7972 -2.0942 1.7266" Properties=species:S:1:pos:R:3 pbc="T T T"
Pm -0.4274 -7.4494 2.3886
Pm 1.8931 -7.5233 -1.0943
Pm 3.6343 -6.4521 2.5583
Pm 3.2215 -4.2882 -0.2779
Pm 0.9009 -4.2143 3.2050
Pm -0.8402 -5.2856 -0.4476
Pm 0.7567 -6.4174 -4.6810
Pm 6.1275 -5.9807 -2.2952
Pm -3.5571 -8.0559 -1.0157
Pm 2.0374 -5.3203 6.7916
Pm -3.3335 -5.7570 4.4059
Pm 6.3512 -3.6817 3.1263
Pd -0.8221 -8.4969 -0.1749
Pd -1.7416 -4.5070 2.3357
Pd 1.0846 -4.6833 -2.3859
Pd 3.6161 -3.2407 2.2855
Pd 4.5357 -7.2306 -0.2250
Pd 1.7094 -7.0543 4.4965
C 0.0000 0.0000 0.0000
```